Entry from Alexandria via LeMat-Bulk: a relaxed Er2WO6 crystal (PBE+U).

Values from the calculation:
total DFT energy (no corrections)	-8.0835	eV per atom
ΔE to the lowest computed polymorph	0.43	eV per formula unit
crystal system	tetragonal

Cell and atoms, written as POSCAR:
```
Er2WO6
1.0
4.979 0.000 0.000
0.000 4.979 0.000
0.000 0.000 9.925
Er W O
4 2 12
direct
0.000 0.000 0.167 Er
0.000 0.000 0.833 Er
0.500 0.500 0.333 Er
0.500 0.500 0.667 Er
0.000 0.000 0.500 W
0.500 0.500 0.000 W
0.185 0.185 0.353 O
0.185 0.185 0.647 O
0.221 0.221 0.000 O
0.279 0.721 0.500 O
0.315 0.685 0.147 O
0.315 0.685 0.853 O
0.685 0.315 0.147 O
0.685 0.315 0.853 O
0.721 0.279 0.500 O
0.779 0.779 0.000 O
0.815 0.815 0.353 O
0.815 0.815 0.647 O
```